DFT (PBE-GGA) results for a relaxed HfCo2AgBi crystal.

Cell: 4.570 4.570 5.264 Å, 90.00 90.00 90.00°
Fractional positions:
Hf1 0.000 0.000 0.000
Co1 0.000 0.500 0.000
Co2 0.500 0.000 0.000
Ag1 0.000 0.000 0.500
Bi1 0.500 0.500 0.500

magnetization	0.9	μB per cell
E_form	514	kJ/mol of formula units
uncorrected energy	-5.115	eV/atom